# 1
The following is a PBE calculation of a relaxed structure of NiHgI2, from Alexandria via LeMat-Bulk.

Computed properties:
ΔE_f (raw): -0.96 kcal/mol of atoms
spin magnetization: 2.01 μB per formula unit
relative energy among the computed polymorphs: 0 meV per atom
total DFT energy (no corrections): -2.337 eV per atom
Fermi-level density of states: 0.04 states/eV/atom

Cell: 3.9462 3.9462 34.0298 Å, 90.00 90.00 120.00°
Space group R-3m (No. 166, hexagonal axes)
One atom of each set of equivalent atoms:
Ni 0.0000 0.0000 0.0000 (multiplicity 3)
Hg 0.0000 0.0000 0.5000 (multiplicity 3)
I 0.0000 0.0000 0.3777 (multiplicity 6)

# 2
The following is a PBE calculation of a relaxed structure of NaSm2SbO6, from Alexandria via LeMat-Bulk.

Computed properties:
ΔE_f (raw): -58.14 kcal/mol of atoms
spin magnetization: 0.00 μB per formula unit
total DFT energy (no corrections): -6.984 eV per atom
Fermi-level density of states: 0.00 states/eV/atom

Cell: 5.7839 5.7839 14.9378 Å, 90.00 90.00 120.00°
Space group R3 (No. 146, hexagonal axes)
One atom of each set of equivalent atoms:
Na 0.0000 0.0000 0.0000 (multiplicity 3)
Sm 0.0000 0.0000 0.2718 (multiplicity 3)
Sm 0.0000 0.0000 0.7757 (multiplicity 3)
Sb 0.0000 0.0000 0.4850 (multiplicity 3)
O 0.0141 0.3889 0.2195 (multiplicity 9)
O 0.0681 0.6760 0.0638 (multiplicity 9)

# 3
The following is a PBE calculation of a relaxed structure of YThBiAs, from Alexandria via LeMat-Bulk.

Computed properties:
spin magnetization: 0.00 μB per formula unit
total DFT energy (no corrections): -6.695 eV per atom
ΔH_f (0 K): -1.09 eV per atom
Fermi-level density of states: 0.53 states/eV/atom

Cell: 4.3368 4.3368 21.6366 Å, 90.00 90.00 120.00°
Space group R3m (No. 160, hexagonal axes)
One atom of each set of equivalent atoms:
Y 0.0000 0.0000 0.0000 (multiplicity 3)
Th 0.0000 0.0000 0.5182 (multiplicity 3)
Bi 0.0000 0.0000 0.7566 (multiplicity 3)
As 0.0000 0.0000 0.2618 (multiplicity 3)

# 4
The following is a PBE calculation of a relaxed structure of La2AlTcC, from Alexandria via LeMat-Bulk.

Computed properties:
spin magnetization: 0.00 μB per formula unit
total DFT energy (no corrections): -6.791 eV per atom
ΔH_f (0 K): -0.15 eV per atom
Fermi-level density of states: 0.68 states/eV/atom

Cell: 5.3167 5.3167 4.0109 Å, 90.00 90.00 90.00°
Space group P4/mmm (No. 123)
One atom of each set of equivalent atoms:
La 0.0000 0.5000 0.0000 (multiplicity 2)
Al 0.0000 0.0000 0.5000 (multiplicity 1)
Tc 0.5000 0.5000 0.5000 (multiplicity 1)
C 0.5000 0.5000 0.0000 (multiplicity 1)